Below is a relaxed SrMnI2O crystal, with properties calculated at the PBE with a Hubbard U level.

a = 6.441 Å, b = 6.441 Å, c = 4.471 Å
α = 90.00°, β = 90.00°, γ = 90.00°
Space group P4/mmm (No. 123)
One atom of each set of equivalent atoms:
Sr (0.000, 0.000, 0.000) x1
Mn (0.500, 0.500, 0.500) x1
I (0.000, 0.500, 0.000) x2
O (0.000, 0.000, 0.500) x1

Computed properties:
VASP energy: -0.1470 hartree per atom
Magnetization: 1.291 μB per atom